[1]
Below is a relaxed structure of Y12HoTm7, with properties calculated at the PBE level.

Calculated formation energy in eV/atom: 0.29
Excess energy over the best structure of this formula in the dataset in meV per atom: 0
Volume in A^3/atom: 32.05
Mass density in g cm⁻³: 6.25
N(E_F) in states/eV/cell: 20.28
Symmetry: R-3, No. 148

POSCAR file:
```
Y12HoTm7
1.0
8.5544 0.7452 1.1185
-1.6628 8.4243 1.1185
-1.6628 -2.2125 8.2051
Tm Y Ho
7 12 1
Cartesian
-0.5283 -0.0537 3.0103
5.7571 7.0107 7.4319
2.3935 6.6863 9.3323
2.8352 0.2707 1.1099
2.6144 3.4785 5.2211
5.1334 3.9778 9.7649
0.0954 2.9792 0.6773
5.4188 1.1786 6.8481
5.6033 2.7683 2.6986
2.0702 6.2679 6.3174
3.1585 0.6891 4.1248
2.5232 4.0186 2.2247
-0.2163 2.5642 4.5654
1.1010 0.1209 6.7169
2.7055 2.9384 8.2175
-0.3746 4.1888 7.7436
-0.1900 5.7784 3.5941
5.4450 4.3928 5.8768
4.1277 6.8362 3.7253
0.0000 0.0000 0.0000
```

[2]
Below is a relaxed structure of CaMg5Sn6, with properties calculated at the PBE level.

Calculated formation energy in eV/atom: -0.19
Excess energy over the best structure of this formula in the dataset in meV per atom: 23
Volume in A^3/atom: 25.40
Mass density in g cm⁻³: 4.76
N(E_F) in states/eV/cell: 3.57
Symmetry: C2/m, No. 12

POSCAR file:
```
CaMg5Sn6
1.0
-6.0728 0.4143 -1.7685
-4.4421 -1.6483 8.2079
-2.1784 4.2440 5.1448
Sn Mg Ca
6 5 1
Cartesian
-4.8934 0.6403 6.0032
-7.7559 -0.9246 4.8199
-2.7590 -0.3094 1.6194
-7.1013 1.3688 10.4260
-7.7999 2.3697 5.5810
-5.5919 1.6412 1.1582
-4.4130 1.8016 8.9164
-2.2074 0.7941 4.4363
-7.4642 0.2465 7.6702
-5.2290 2.7636 3.9139
-5.2574 -0.6170 3.2197
0.0000 0.0000 0.0000
```